Record 1
The following is a SCAN calculation of a PBEsol-optimized structure of TaReMo2, from Alexandria.

- total moment (μB/cell) = 0.00
- symmetry = Imm2
- formation energy (kJ/mol of atoms) = -18
- E above lowest polymorph (eV per formula unit) = 0.15

a = 5.222 Å, b = 5.222 Å, c = 5.222 Å
α = 144.95°, β = 129.54°, γ = 62.92°
Fractional positions:
Ta (0.000, 0.000, 0.000)
Re (0.748, 0.248, 0.500)
Mo (0.253, 0.753, 0.500)
Mo (0.500, 0.500, 0.000)

=====

Record 2
The following is a SCAN calculation of a PBEsol-optimized structure of TaReMo2, from Alexandria.

- total moment (μB/cell) = 0.00
- symmetry = Pmmm
- formation energy (kJ/mol of atoms) = -22
- E above lowest polymorph (eV per formula unit) = 0.01

a = 3.146 Å, b = 4.444 Å, c = 4.464 Å
α = 90.00°, β = 90.00°, γ = 90.00°
Fractional positions:
Ta (0.000, 0.000, 0.000)
Re (0.500, 0.500, 0.000)
Mo (0.000, 0.500, 0.500)
Mo (0.500, 0.000, 0.500)

=====

Record 3
The following is a SCAN calculation of a PBEsol-optimized structure of TaReMo3, from Alexandria.

- total moment (μB/cell) = 0.00
- symmetry = Pm-3m
- formation energy (kJ/mol of atoms) = 224

a = 4.596 Å, b = 4.596 Å, c = 4.596 Å
α = 90.00°, β = 90.00°, γ = 90.00°
Fractional positions:
Ta (0.000, 0.000, 0.000)
Re (0.500, 0.500, 0.500)
Mo (0.000, 0.000, 0.500)
Mo (0.000, 0.500, 0.000)
Mo (0.500, 0.000, 0.000)

=====

Record 4
The following is a SCAN calculation of a PBEsol-optimized structure of TaReMo2, from Alexandria.

- total moment (μB/cell) = 0.00
- symmetry = Immm
- formation energy (kJ/mol of atoms) = -20
- E above lowest polymorph (eV per formula unit) = 0.08

a = 5.238 Å, b = 5.238 Å, c = 5.238 Å
α = 145.04°, β = 129.94°, γ = 62.51°
Fractional positions:
Ta (0.000, 0.000, 0.000)
Re (0.500, 0.500, 0.000)
Mo (0.252, 0.752, 0.500)
Mo (0.748, 0.248, 0.500)

=====

Record 5
The following is a SCAN calculation of a PBEsol-optimized structure of TaReMo2, from Alexandria.

- total moment (μB/cell) = 0.00
- symmetry = F-43m
- formation energy (kJ/mol of atoms) = -22
- E above lowest polymorph (eV per formula unit) = 0.00

a = 4.450 Å, b = 4.450 Å, c = 4.450 Å
α = 60.00°, β = 60.00°, γ = 60.00°
Fractional positions:
Ta (0.000, 0.000, 0.000)
Re (0.250, 0.250, 0.250)
Mo (0.500, 0.500, 0.500)
Mo (0.750, 0.750, 0.750)

=====

Record 6
The following is a SCAN calculation of a PBEsol-optimized structure of ReTc2Mo, from Alexandria.

- total moment (μB/cell) = 0.00
- symmetry = P4/mmm
- formation energy (kJ/mol of atoms) = 13
- E above lowest polymorph (eV per formula unit) = 0.08

a = 3.074 Å, b = 3.074 Å, c = 6.156 Å
α = 90.00°, β = 90.00°, γ = 90.00°
Fractional positions:
Re (0.000, 0.000, 0.000)
Tc (0.500, 0.500, 0.256)
Tc (0.500, 0.500, 0.744)
Mo (0.000, 0.000, 0.500)

=====

Record 7
The following is a SCAN calculation of a PBEsol-optimized structure of ReTc2Mo, from Alexandria.

- total moment (μB/cell) = 0.00
- symmetry = Fm-3m
- formation energy (kJ/mol of atoms) = 12
- E above lowest polymorph (eV per formula unit) = 0.05

a = 4.349 Å, b = 4.349 Å, c = 4.349 Å
α = 60.00°, β = 60.00°, γ = 60.00°
Fractional positions:
Re (0.000, 0.000, 0.000)
Tc (0.250, 0.250, 0.250)
Tc (0.750, 0.750, 0.750)
Mo (0.500, 0.500, 0.500)

=====

Record 8
The following is a SCAN calculation of a PBEsol-optimized structure of Re2TcMo, from Alexandria.

- total moment (μB/cell) = 0.00
- symmetry = Cmmm
- formation energy (kJ/mol of atoms) = 12
- E above lowest polymorph (eV per formula unit) = 0.00

a = 4.754 Å, b = 4.754 Å, c = 2.752 Å
α = 90.00°, β = 90.00°, γ = 109.24°
Fractional positions:
Re (0.000, 0.500, 0.000)
Re (0.500, 0.000, 0.000)
Tc (0.000, 0.000, 0.500)
Mo (0.500, 0.500, 0.500)

=====

Record 9
The following is a SCAN calculation of a PBEsol-optimized structure of ReTc2Mo, from Alexandria.

- total moment (μB/cell) = 0.00
- symmetry = Cmmm
- formation energy (kJ/mol of atoms) = 14
- E above lowest polymorph (eV per formula unit) = 0.11

a = 2.665 Å, b = 2.665 Å, c = 8.740 Å
α = 90.00°, β = 90.00°, γ = 110.27°
Fractional positions:
Re (0.000, 0.000, 0.000)
Tc (0.500, 0.500, 0.250)
Tc (0.500, 0.500, 0.750)
Mo (0.000, 0.000, 0.500)

=====

Record 10
The following is a SCAN calculation of a PBEsol-optimized structure of ReTc2Mo, from Alexandria.

- total moment (μB/cell) = 0.00
- symmetry = I-4m2
- formation energy (kJ/mol of atoms) = 11
- E above lowest polymorph (eV per formula unit) = 0.01

a = 4.746 Å, b = 4.746 Å, c = 4.746 Å
α = 131.87°, β = 131.87°, γ = 70.44°
Fractional positions:
Re (0.000, 0.000, 0.000)
Tc (0.500, 0.500, 0.000)
Tc (0.750, 0.250, 0.500)
Mo (0.250, 0.750, 0.500)

=====

Record 11
The following is a SCAN calculation of a PBEsol-optimized structure of ReTc2Mo, from Alexandria.

- total moment (μB/cell) = 0.00
- symmetry = Pmm2
- formation energy (kJ/mol of atoms) = 12
- E above lowest polymorph (eV per formula unit) = 0.02

a = 2.742 Å, b = 3.865 Å, c = 5.484 Å
α = 90.00°, β = 90.00°, γ = 90.00°
Fractional positions:
Re (0.000, 0.000, 0.000)
Tc (0.000, 0.000, 0.489)
Tc (0.500, 0.500, 0.244)
Mo (0.500, 0.500, 0.741)

=====

Record 12
The following is a SCAN calculation of a PBEsol-optimized structure of ReTcMo, from Alexandria.

- total moment (μB/cell) = 0.00
- symmetry = Fmm2
- formation energy (kJ/mol of atoms) = 11

a = 6.908 Å, b = 6.732 Å, c = 2.673 Å
α = 82.43°, β = 75.02°, γ = 22.56°
Fractional positions:
Re (0.000, 0.000, 0.000)
Tc (0.666, 0.666, 0.334)
Mo (0.332, 0.332, 0.668)

=====

Record 13
The following is a SCAN calculation of a PBEsol-optimized structure of ReTcMo2, from Alexandria.

- total moment (μB/cell) = 0.00
- symmetry = Imm2
- formation energy (kJ/mol of atoms) = 4
- E above lowest polymorph (eV per formula unit) = 0.00

a = 5.126 Å, b = 5.126 Å, c = 5.126 Å
α = 144.70°, β = 129.56°, γ = 63.06°
Fractional positions:
Re (0.000, 0.000, 0.000)
Tc (0.262, 0.762, 0.500)
Mo (0.514, 0.514, 0.000)
Mo (0.753, 0.253, 0.500)

=====

Record 14
The following is a SCAN calculation of a PBEsol-optimized structure of Re2TcMo, from Alexandria.

- total moment (μB/cell) = 0.00
- symmetry = R-3m
- formation energy (kJ/mol of atoms) = 12
- E above lowest polymorph (eV per formula unit) = 0.02

a = 9.164 Å, b = 9.164 Å, c = 9.164 Å
α = 17.20°, β = 17.20°, γ = 17.20°
Fractional positions:
Re (0.248, 0.248, 0.248)
Re (0.752, 0.752, 0.752)
Tc (0.500, 0.500, 0.500)
Mo (0.000, 0.000, 0.000)

=====

Record 15
The following is a SCAN calculation of a PBEsol-optimized structure of ReTcMo2, from Alexandria.

- total moment (μB/cell) = 0.00
- symmetry = Fm-3m
- formation energy (kJ/mol of atoms) = 4
- E above lowest polymorph (eV per formula unit) = 0.01

a = 4.378 Å, b = 4.378 Å, c = 4.378 Å
α = 60.00°, β = 60.00°, γ = 60.00°
Fractional positions:
Re (0.000, 0.000, 0.000)
Tc (0.500, 0.500, 0.500)
Mo (0.250, 0.250, 0.250)
Mo (0.750, 0.750, 0.750)

=====

Record 16
The following is a SCAN calculation of a PBEsol-optimized structure of Re2TcMo, from Alexandria.

- total moment (μB/cell) = 0.00
- symmetry = C2/m
- formation energy (kJ/mol of atoms) = 12
- E above lowest polymorph (eV per formula unit) = 0.01

a = 5.118 Å, b = 5.118 Å, c = 2.677 Å
α = 99.96°, β = 99.96°, γ = 117.23°
Fractional positions:
Re (0.000, 0.500, 0.000)
Re (0.500, 0.000, 0.000)
Tc (0.000, 0.000, 0.500)
Mo (0.500, 0.500, 0.500)

=====

Record 17
The following is a SCAN calculation of a PBEsol-optimized structure of ReTc2Mo, from Alexandria.

- total moment (μB/cell) = 0.00
- symmetry = P4mm
- formation energy (kJ/mol of atoms) = 11
- E above lowest polymorph (eV per formula unit) = 0.00

a = 2.728 Å, b = 2.728 Å, c = 7.815 Å
α = 90.00°, β = 90.00°, γ = 90.00°
Fractional positions:
Re (0.000, 0.000, 0.000)
Tc (0.000, 0.000, 0.480)
Tc (0.500, 0.500, 0.242)
Mo (0.500, 0.500, 0.739)

=====

Record 18
The following is a SCAN calculation of a PBEsol-optimized structure of Re2TcMo, from Alexandria.

- total moment (μB/cell) = 0.00
- symmetry = P4mm
- formation energy (kJ/mol of atoms) = 13
- E above lowest polymorph (eV per formula unit) = 0.05

a = 3.083 Å, b = 3.083 Å, c = 6.209 Å
α = 90.00°, β = 90.00°, γ = 90.00°
Fractional positions:
Re (0.000, 0.000, 0.000)
Re (0.500, 0.500, 0.240)
Tc (0.000, 0.000, 0.515)
Mo (0.500, 0.500, 0.731)

=====

Record 19
The following is a SCAN calculation of a PBEsol-optimized structure of ReTeMo, from Alexandria.

- formation energy (no corrections) (meV per atom) = 617
- total moment (μB/cell) = 0.00
- symmetry = P-6m2

a = 4.438 Å, b = 4.438 Å, c = 2.965 Å
α = 90.00°, β = 90.00°, γ = 120.00°
Fractional positions:
Re (0.000, 0.000, 0.000)
Te (0.667, 0.333, 0.000)
Mo (0.333, 0.667, 0.500)

=====

Record 20
The following is a SCAN calculation of a PBEsol-optimized structure of TiReMo2, from Alexandria.

- total moment (μB/cell) = 0.00
- symmetry = Fm-3m
- formation energy (kJ/mol of atoms) = -25

a = 4.391 Å, b = 4.391 Å, c = 4.391 Å
α = 60.00°, β = 60.00°, γ = 60.00°
Fractional positions:
Ti (0.000, 0.000, 0.000)
Re (0.500, 0.500, 0.500)
Mo (0.250, 0.250, 0.250)
Mo (0.750, 0.750, 0.750)